Compound: HfTi3Cd
Source: Alexandria via LeMat-Bulk
Functional: PBE
Structure: optimized geometry

Results
The energy above the most stable polymorph in this dataset comes out at 873 meV per atom. Its mass density is 6223 kg/m³. The value obtained for the volume is 115.9 Å³ per cell. The space group is Pm-3m, No. 221. As for the energy relative to the elements: 5.50 eV/f.u.

Geometry as CIF:
```
data_HfTi3Cd
_chemical_formula_sum 'Hf1 Ti3 Cd1'
_cell_length_a 4.876
_cell_length_b 4.876
_cell_length_c 4.876
_cell_angle_alpha 90.00
_cell_angle_beta 90.00
_cell_angle_gamma 90.00
_symmetry_space_group_name_H-M 'P 1'
_symmetry_Int_Tables_number 1
_symmetry_space_group_name_Hall 'P 1'
loop_
_atom_site_label
_atom_site_fract_x
_atom_site_fract_y
_atom_site_fract_z
Cd1 0.500 0.500 0.500
Ti1 0.000 0.000 0.500
Hf1 0.000 0.000 0.000
Ti2 0.000 0.500 0.000
Ti3 0.500 0.000 0.000
```